(1)
A relaxed HfMn2CoIr crystal. Source: Alexandria via LeMat-Bulk, functional PBE-GGA.

Total energy in eV/atom: -6.878
Energy of formation from the pure elements in kcal/mol of atoms: 45.53

Lattice parameters (Å, degrees): 4.3474 4.3474 4.3585 90.00 90.00 90.00
Space group P4/mmm (No. 123)
Unique sites:
Hf: 0.0000 0.0000 0.0000 x1
Mn: 0.0000 0.5000 0.0000 x2
Co: 0.0000 0.0000 0.5000 x1
Ir: 0.5000 0.5000 0.5000 x1

---

(2)
A relaxed Pr2TmPdO6 crystal. Source: Alexandria via LeMat-Bulk, functional PBE-GGA.

E_form (uncorrected) in meV per atom: -2594.0
Total energy in eV/atom: -7.491

Lattice parameters (Å, degrees): 10.3024 5.7201 5.7189 90.00 121.16 90.00
Space group C2 (No. 5)
Unique sites:
Pr: 0.2450 0.0000 0.2167 x4
Tm: 0.0000 0.0211 0.5000 x2
Pd: 0.0000 0.5198 0.0000 x2
O: 0.0743 0.7606 0.8254 x4
O: 0.0750 0.2718 0.8421 x4
O: 0.2376 0.0789 0.6112 x4